! NaZr2Hg2 (PBE-GGA, optimized geometry); values from VASP
! - SG: No. 127
! - Density of states at the Fermi level: 6.1 states/eV/f.u.
! - E_form: 0.01 eV/atom
! - Relative energy among the computed polymorphs: 0 meV per atom
! - Uncorrected energy: -3.7969 eV per atom
&SYSTEM
  ibrav = 0, nat = 10, ntyp = 3
/
ATOMIC_SPECIES
Na 22.99 Na.upf
Zr 91.22 Zr.upf
Hg 200.59 Hg.upf
CELL_PARAMETERS angstrom
8.895 0.000 0.000
0.000 8.895 0.000
0.000 0.000 3.053
ATOMIC_POSITIONS crystal
Na 0.000 0.000 0.000
Na 0.500 0.500 0.000
Zr 0.123 0.377 0.500
Zr 0.377 0.877 0.500
Zr 0.623 0.123 0.500
Zr 0.877 0.623 0.500
Hg 0.173 0.673 0.000
Hg 0.327 0.173 0.000
Hg 0.673 0.827 0.000
Hg 0.827 0.327 0.000



! NaZr2Hg (PBE-GGA, optimized geometry); values from VASP
! - SG: No. 122
! - Density of states at the Fermi level: 4.3 states/eV/f.u.
! - E_form: 0.49 eV/atom
! - Uncorrected energy: -4.1850 eV per atom
&SYSTEM
  ibrav = 0, nat = 16, ntyp = 3
/
ATOMIC_SPECIES
Na 22.99 Na.upf
Zr 91.22 Zr.upf
Hg 200.59 Hg.upf
CELL_PARAMETERS angstrom
8.256 0.000 0.000
0.000 8.256 0.000
0.000 0.000 5.644
ATOMIC_POSITIONS crystal
Na 0.000 0.000 0.000
Na 0.000 0.500 0.250
Na 0.500 0.000 0.750
Na 0.500 0.500 0.500
Zr 0.234 0.250 0.625
Zr 0.250 0.734 0.875
Zr 0.250 0.766 0.375
Zr 0.266 0.250 0.125
Zr 0.734 0.750 0.125
Zr 0.750 0.234 0.375
Zr 0.750 0.266 0.875
Zr 0.766 0.750 0.625
Hg 0.000 0.000 0.500
Hg 0.000 0.500 0.750
Hg 0.500 0.000 0.250
Hg 0.500 0.500 0.000